(1)
{
  "formula": "PuThMnN4",
  "functional": "PBE",
  "state": "optimized geometry",
  "cell": [[3.759, 0.000, 0.000], [0.000, 3.759, 0.000], [-1.879, -1.879, 6.234]],
  "species": ["Mn", "N", "Pu", "N", "Th", "N", "N"],
  "fractional_positions": [[0.981, 0.981, 0.961], [0.832, 0.832, 0.663], [0.362, 0.362, 0.725], [0.186, 0.186, 0.373], [0.640, 0.640, 0.280], [0.500, 0.000, 0.999], [0.000, 0.500, 0.999]],
  "formation_energy_uncorrected_kcal_per_mol_atoms": -23.1,
  "dft_energy_ev_per_fu": -71.2
}

(2)
{
  "formula": "PuTh2MnN5",
  "functional": "PBE",
  "state": "optimized geometry",
  "cell": [[-3.334, 3.865, 2.559], [1.187, -2.895, 5.918], [5.304, 3.987, 0.887]],
  "species": ["Mn", "N", "N", "N", "Pu", "N", "N", "Th", "Pu", "Mn", "Th", "N", "Th", "N", "Th", "N", "N", "N"],
  "fractional_positions": [[0.000, 0.000, 0.500], [0.223, 0.856, 0.356], [0.223, 0.644, 0.856], [0.223, 0.144, 0.644], [0.000, 0.000, 0.000], [0.777, 0.144, 0.644], [0.777, 0.644, 0.856], [0.500, 0.670, 0.170], [0.000, 0.500, 0.500], [0.000, 0.500, 0.000], [0.500, 0.170, 0.330], [0.500, 0.000, 0.000], [0.500, 0.830, 0.670], [0.500, 0.500, 0.500], [0.500, 0.330, 0.830], [0.777, 0.356, 0.144], [0.223, 0.356, 0.144], [0.777, 0.856, 0.356]],
  "formation_energy_uncorrected_kcal_per_mol_atoms": -21.8,
  "dft_energy_ev_per_fu": -88.5
}